Record 1
This record from Alexandria via LeMat-Bulk describes a relaxed Ta3MnBr crystal. The functional is PBE.

Output
energy relative to the elements, uncorrected = 1.0863 eV per atom
energy above the lowest structure with this stoichiometry = 0.0 meV/atom
Fermi-level density of states = 6.77 states/eV/f.u.

a b c (Å): 4.6762 4.6762 4.6762
angles (deg): 90.00 90.00 90.00
Atoms (fractional coordinates):
Ta  0.5000  0.0000  0.0000
Ta  0.0000  0.5000  0.0000
Ta  0.0000  0.0000  0.5000
Mn  0.0000  0.0000  0.0000
Br  0.5000  0.5000  0.5000



Record 2
This record from Alexandria via LeMat-Bulk describes a relaxed LaCdC3 crystal. The functional is PBE.

Output
energy relative to the elements = 1299 kJ/mol of formula units
energy above the lowest structure with this stoichiometry = 618.2 meV/atom
Fermi-level density of states = 5.37 states/eV/f.u.

a b c (Å): 4.5409 4.5409 4.5409
angles (deg): 90.00 90.00 90.00
Atoms (fractional coordinates):
C  0.5000  0.0000  0.0000
C  0.0000  0.5000  0.0000
C  0.0000  0.0000  0.5000
La  0.0000  0.0000  0.0000
Cd  0.5000  0.5000  0.5000



Record 3
This record from Alexandria via LeMat-Bulk describes a relaxed Pb2AuO5 crystal. The functional is PBE.

Output
energy relative to the elements, uncorrected = -0.5377 eV per atom
Fermi-level density of states = 1.84 states/eV/f.u.

a b c (Å): 6.1203 6.3386 6.0199
angles (deg): 86.18 138.44 106.23
Atoms (fractional coordinates):
O  0.5889  0.6851  0.4973
O  0.0137  0.3044  0.8198
O  0.2596  0.9514  0.0262
O  0.9270  0.2700  0.2321
O  0.0617  0.8649  0.3538
Au  0.0887  0.1080  0.1334
Pb  0.8431  0.0050  0.4632
Pb  0.9943  0.5882  0.0281



Record 4
This record from Alexandria via LeMat-Bulk describes a relaxed Na3ErSc2Se6 crystal. The functional is PBE.

Output
energy relative to the elements, uncorrected = -1.6218 eV per atom

a b c (Å): 6.9292 6.9292 7.3462
angles (deg): 99.06 99.06 120.01
Atoms (fractional coordinates):
Se  0.4173  0.0740  0.2214
Se  0.2695  0.2695  0.7784
Se  0.5827  0.9260  0.7786
Se  0.9260  0.5827  0.7786
Se  0.0740  0.4173  0.2214
Se  0.7305  0.7305  0.2216
Sc  0.3330  0.6670  0.0000
Sc  0.6670  0.3330  0.0000
Er  0.0000  0.0000  0.0000
Na  0.1648  0.8352  0.5000
Na  0.5000  0.5000  0.5000
Na  0.8352  0.1648  0.5000



Record 5
This record from Alexandria via LeMat-Bulk describes a relaxed Na2Mo2C crystal. The functional is PBE.

Output
energy relative to the elements = 283 kJ/mol of formula units
energy above the lowest structure with this stoichiometry = 0.0 meV/atom
Fermi-level density of states = 4.39 states/eV/f.u.

a b c (Å): 5.6098 5.6098 5.5984
angles (deg): 90.00 90.00 90.00
Atoms (fractional coordinates):
Mo  0.1663  0.3337  0.0000
Mo  0.8337  0.6663  0.0000
Mo  0.3337  0.8337  0.0000
Mo  0.6663  0.1663  0.0000
C  0.5000  0.5000  0.0000
C  0.0000  0.0000  0.0000
Na  0.6758  0.8242  0.5000
Na  0.8242  0.3242  0.5000
Na  0.1758  0.6758  0.5000
Na  0.3242  0.1758  0.5000



Record 6
This record from Alexandria via LeMat-Bulk describes a relaxed NaTbAgAu crystal. The functional is PBE.

Output
energy relative to the elements = -138 kJ/mol of formula units
Fermi-level density of states = 2.15 states/eV/f.u.

a b c (Å): 5.0291 5.0291 5.0291
angles (deg): 60.00 60.00 60.00
Atoms (fractional coordinates):
Au  0.7500  0.7500  0.7500
Ag  0.2500  0.2500  0.2500
Tb  0.0000  0.0000  0.0000
Na  0.5000  0.5000  0.5000



Record 7
This record from Alexandria via LeMat-Bulk describes a relaxed CdPd2Pt2 crystal. The functional is PBE.

Output
energy relative to the elements = -8 kJ/mol of formula units
energy above the lowest structure with this stoichiometry = 164.9 meV/atom
Fermi-level density of states = 5.94 states/eV/f.u.

a b c (Å): 7.6755 7.6755 2.9268
angles (deg): 90.00 90.00 90.00
Atoms (fractional coordinates):
Pt  0.3738  0.8738  0.0000
Pt  0.8738  0.6262  0.0000
Pt  0.1262  0.3738  0.0000
Pt  0.6262  0.1262  0.0000
Cd  0.0000  0.0000  0.0000
Cd  0.5000  0.5000  0.0000
Pd  0.6732  0.8268  0.5000
Pd  0.8268  0.3268  0.5000
Pd  0.1732  0.6732  0.5000
Pd  0.3268  0.1732  0.5000



Record 8
This record from Alexandria via LeMat-Bulk describes a relaxed Si2AsRh crystal. The functional is PBE.

Output
energy relative to the elements, uncorrected = -0.2119 eV per atom
energy above the lowest structure with this stoichiometry = 0.0 meV/atom
Fermi-level density of states = 0.90 states/eV/f.u.

a b c (Å): 4.2314 4.3805 4.3815
angles (deg): 59.27 90.00 90.00
Atoms (fractional coordinates):
Rh  0.5000  0.7959  0.7957
As  0.0000  0.6078  0.6078
Si  0.5000  0.1460  0.1459
Si  0.0000  0.9503  0.9506



Record 9
This record from Alexandria via LeMat-Bulk describes a relaxed SrCo2Pb crystal. The functional is PBE.

Output
energy relative to the elements = 254 kJ/mol of formula units
Fermi-level density of states = 7.04 states/eV/f.u.

a b c (Å): 4.9292 4.9292 4.9292
angles (deg): 60.00 60.00 60.00
Atoms (fractional coordinates):
Sr  0.7500  0.7500  0.7500
Co  0.0000  0.0000  0.0000
Co  0.2500  0.2500  0.2500
Pb  0.5000  0.5000  0.5000



Record 10
This record from Alexandria via LeMat-Bulk describes a relaxed Rb2CeNb3O12 crystal. The functional is PBE.

Output
energy relative to the elements, uncorrected = -2.2165 eV per atom
Fermi-level density of states = 10.97 states/eV/f.u.

a b c (Å): 7.6613 7.6613 7.6613
angles (deg): 60.30 60.30 60.30
Atoms (fractional coordinates):
O  0.9316  0.3001  0.3001
O  0.6500  0.0829  0.0829
O  0.3500  0.9171  0.9171
O  0.9171  0.3500  0.9171
O  0.0829  0.0829  0.6500
O  0.9171  0.9171  0.3500
O  0.6999  0.6999  0.0684
O  0.3001  0.3001  0.9316
O  0.0829  0.6500  0.0829
O  0.6999  0.0684  0.6999
O  0.0684  0.6999  0.6999
O  0.3001  0.9316  0.3001
Rb  0.6243  0.6243  0.6243
Rb  0.3757  0.3757  0.3757
Nb  0.0000  0.5000  0.0000
Nb  0.5000  0.0000  0.0000
Nb  0.0000  0.0000  0.5000
Ce  0.0000  0.0000  0.0000



Record 11
This record from Alexandria via LeMat-Bulk describes a relaxed LaPr15Er4 crystal. The functional is PBE.

Output
energy relative to the elements = 24 kJ/mol of formula units
Fermi-level density of states = 28.80 states/eV/f.u.

a b c (Å): 5.2049 5.2049 25.9502
angles (deg): 90.00 90.00 90.00
Atoms (fractional coordinates):
Pr  0.5000  0.0000  0.6985
Pr  0.5000  0.5000  0.5992
Pr  0.0000  0.5000  0.8972
Pr  0.5000  0.5000  0.7969
Pr  0.5000  0.0000  0.5000
Pr  0.0000  0.5000  0.6985
Pr  0.0000  0.5000  0.3015
Pr  0.0000  0.5000  0.1028
Pr  0.5000  0.0000  0.3015
Pr  0.5000  0.0000  0.1028
Pr  0.5000  0.5000  0.0000
Pr  0.5000  0.5000  0.4008
Pr  0.5000  0.0000  0.8972
Pr  0.0000  0.5000  0.5000
Pr  0.5000  0.5000  0.2031
Er  0.0000  0.0000  0.5992
Er  0.0000  0.0000  0.7979
Er  0.0000  0.0000  0.2021
Er  0.0000  0.0000  0.4008
La  0.0000  0.0000  0.0000



Record 12
This record from Alexandria via LeMat-Bulk describes a relaxed La2InBr crystal. The functional is PBE.

Output
energy relative to the elements, uncorrected = -0.8713 eV per atom
energy above the lowest structure with this stoichiometry = 11.7 meV/atom
Fermi-level density of states = 3.07 states/eV/f.u.

a b c (Å): 3.8468 3.7946 8.9771
angles (deg): 89.77 90.00 90.00
Atoms (fractional coordinates):
Br  0.5000  0.2500  0.2500
La  0.0000  0.2483  0.9755
La  0.0000  0.2517  0.5245
In  0.5000  0.7500  0.7500



no.,total DFT energy (no corrections) (eV per atom)
1,-8.1938
2,-4.0111
3,-4.9733
4,-5.1293
5,-6.1176
6,-3.3781
7,-4.6930
8,-5.9237
9,-4.2426
10,-7.6374
11,-4.7312
12,-4.4378